Entry from Alexandria: a relaxed structure of Y8AgGe3Te4 (PBE-GGA).

## Properties
uncorrected formation energy: -1.09 eV/atom
energy: -98.4 eV/cell
total moment: 0.00 μB/f.u.

Cell lengths 8.5157, 8.6360, 8.5156 Å; angles 119.54, 120.00, 90.00 degrees
Fractional positions:
Y: 0.7395 0.7186 0.4790
Y: 0.7515 0.2725 0.5029
Y: 0.7304 0.7275 0.9789
Y: 0.2485 0.7275 0.9789
Y: 0.2605 0.2814 0.5210
Y: 0.2696 0.2725 0.0211
Y: 0.7515 0.2725 0.0211
Y: 0.2485 0.7275 0.4971
Te: 0.5000 0.0000 0.5000
Te: 0.0000 0.0000 0.5000
Te: 0.5000 0.0000 0.0000
Te: 0.0000 0.0000 0.0000
Ag: 0.0000 0.5000 0.0000
Ge: 0.5000 0.5000 0.5000
Ge: 0.5000 0.5000 0.0000
Ge: 0.0000 0.5000 0.5000